## Tm6SnP3S2 (GGA-PBE)

Data for a geometry-optimized Tm6SnP3S2 structure.

a = 3.932 Å, b = 8.082 Å, c = 8.924 Å
α = 103.06°, β = 102.73°, γ = 90.00°
Sites, in units of the cell vectors:
Tm: 0.326 0.918 0.653
Tm: 0.665 0.590 0.331
Tm: 0.674 0.082 0.347
Tm: 0.000 0.270 0.000
Tm: 0.000 0.730 0.000
Tm: 0.335 0.410 0.669
Sn: 0.500 0.000 0.000
P: 0.500 0.500 0.000
P: 0.833 0.169 0.667
P: 0.167 0.831 0.333
S: 0.830 0.660 0.660
S: 0.170 0.340 0.340

Output
density of states at the Fermi level: 2.1 states/eV/cell
energy relative to the elements, uncorrected: -1.56 eV per atom
space group: No. 12
uncorrected energy: -74.1 eV for the cell shown
volume: 22.43 A^3/atom

***

## Nd3YSc2Se6 (GGA-PBE)

Data for a geometry-optimized Nd3YSc2Se6 structure.

a = 7.019 Å, b = 7.019 Å, c = 7.212 Å
α = 99.33°, β = 99.33°, γ = 120.21°
Sites, in units of the cell vectors:
Nd: 0.161 0.839 0.500
Nd: 0.839 0.161 0.500
Nd: 0.500 0.500 0.500
Y: 0.000 0.000 0.000
Sc: 0.334 0.666 0.000
Sc: 0.666 0.334 0.000
Se: 0.924 0.581 0.772
Se: 0.731 0.731 0.223
Se: 0.076 0.419 0.228
Se: 0.581 0.924 0.772
Se: 0.269 0.269 0.777
Se: 0.419 0.076 0.228

Output
density of states at the Fermi level: 5.8 states/eV/cell
energy relative to the elements, uncorrected: -1.74 eV per atom
space group: No. 12
uncorrected energy: -75.2 eV for the cell shown
volume: 24.20 A^3/atom

***

## ScCoP2Cl (GGA-PBE)

Data for a geometry-optimized ScCoP2Cl structure.

a = 4.316 Å, b = 4.316 Å, c = 4.812 Å
α = 90.00°, β = 90.00°, γ = 90.00°
Sites, in units of the cell vectors:
Sc: 0.500 0.500 0.500
P: 0.000 0.500 0.000
P: 0.500 0.000 0.000
Co: 0.000 0.000 0.000
Cl: 0.000 0.000 0.500

Output
density of states at the Fermi level: 4.6 states/eV/cell
energy relative to the elements, uncorrected: -0.12 eV per atom
space group: No. 123
uncorrected energy: -26.7 eV for the cell shown
energy above the most stable polymorph in this dataset: 0 meV/atom
volume: 17.92 A^3/atom

***

Number 2 is which compound? Nd3YSc2Se6